No. 1
Density functional theory data (PBE) for an optimized crystal structure of NdSm5Cu6.

a = 5.052 Å, b = 7.052 Å, c = 7.997 Å
α = 90.00°, β = 71.23°, γ = 90.00°
Element x y z (fractional)
Sm 0.667 0.000 0.665
Sm 0.333 0.000 0.335
Sm 0.000 0.500 0.000
Sm 0.334 0.500 0.333
Sm 0.666 0.500 0.667
Cu 0.168 0.253 0.664
Cu 0.832 0.253 0.336
Cu 0.832 0.747 0.336
Cu 0.500 0.746 0.000
Cu 0.168 0.747 0.664
Cu 0.500 0.254 0.000
Nd 0.000 0.000 0.000

Results
formation energy: -0.173 eV/atom
SG: No. 10

No. 2
Density functional theory data (PBE) for an optimized crystal structure of NdSmCu10.

a = 4.119 Å, b = 5.122 Å, c = 8.791 Å
α = 90.00°, β = 90.00°, γ = 90.00°
Element x y z (fractional)
Cu 0.000 0.000 0.332
Cu 0.500 0.500 0.000
Cu 0.000 0.000 0.668
Cu 0.500 0.249 0.249
Cu 0.500 0.000 0.500
Cu 0.500 0.751 0.751
Cu 0.500 0.249 0.751
Cu 0.500 0.751 0.249
Cu 0.000 0.500 0.835
Cu 0.000 0.500 0.165
Sm 0.000 0.000 0.000
Nd 0.000 0.500 0.500

Results
formation energy: -0.169 eV/atom
SG: No. 47

No. 3
Density functional theory data (PBE) for an optimized crystal structure of Nd2Sm3Cu2.

a = 3.749 Å, b = 6.607 Å, c = 9.237 Å
α = 115.45°, β = 90.00°, γ = 106.48°
Element x y z (fractional)
Cu 0.834 0.669 0.770
Cu 0.166 0.331 0.230
Sm 0.385 0.771 0.557
Sm 0.500 0.000 0.000
Sm 0.615 0.229 0.443
Nd 0.843 0.687 0.187
Nd 0.157 0.313 0.813

Results
formation energy: -0.085 eV/atom
SG: No. 12

No. 4
Density functional theory data (PBE) for an optimized crystal structure of Nd4SmCu.

a = 3.651 Å, b = 3.651 Å, c = 13.990 Å
α = 90.00°, β = 90.00°, γ = 90.00°
Element x y z (fractional)
Nd 0.500 0.500 0.816
Nd 0.000 0.000 0.624
Nd 0.000 0.000 0.376
Nd 0.500 0.500 0.184
Sm 0.000 0.000 0.000
Cu 0.500 0.500 0.500

Results
formation energy: -0.028 eV/atom
SG: No. 123

No. 5
Density functional theory data (PBE) for an optimized crystal structure of Nd2SmCu.

a = 3.727 Å, b = 3.727 Å, c = 10.294 Å
α = 79.57°, β = 79.57°, γ = 60.00°
Element x y z (fractional)
Nd 0.068 0.068 0.796
Nd 0.265 0.265 0.204
Cu 0.667 0.667 0.999
Sm 0.500 0.500 0.501

Results
formation energy: 0.066 eV/atom
excess energy over the best structure of this formula in the dataset: 127 meV per atom
SG: No. 160

No. 6
Density functional theory data (PBE) for an optimized crystal structure of Nd3SmCu2.

a = 6.964 Å, b = 7.421 Å, c = 8.582 Å
α = 115.62°, β = 113.94°, γ = 90.00°
Element x y z (fractional)
Cu 0.845 0.140 0.281
Cu 0.155 0.860 0.719
Cu 0.436 0.640 0.281
Cu 0.564 0.360 0.719
Nd 0.500 0.250 0.000
Nd 0.234 0.984 0.467
Nd 0.766 0.516 0.533
Nd 0.766 0.016 0.533
Nd 0.500 0.750 0.000
Nd 0.234 0.484 0.467
Sm 0.000 0.000 0.000
Sm 0.000 0.500 0.000

Results
formation energy: 0.073 eV/atom
excess energy over the best structure of this formula in the dataset: 173 meV per atom
SG: No. 72

No. 7
Density functional theory data (PBE) for an optimized crystal structure of NdSm2Cu2.

a = 4.726 Å, b = 5.042 Å, c = 11.056 Å
α = 97.71°, β = 90.00°, γ = 90.00°
Element x y z (fractional)
Nd 0.250 0.692 0.243
Nd 0.750 0.308 0.757
Sm 0.750 0.153 0.116
Sm 0.250 0.847 0.884
Sm 0.250 0.253 0.509
Sm 0.750 0.747 0.491
Cu 0.250 0.384 0.996
Cu 0.750 0.210 0.365
Cu 0.250 0.790 0.635
Cu 0.750 0.616 0.004

Results
formation energy: -0.072 eV/atom
excess energy over the best structure of this formula in the dataset: 28 meV per atom
SG: No. 11

No. 8
Density functional theory data (PBE) for an optimized crystal structure of Nd2SmCu.

a = 6.580 Å, b = 7.039 Å, c = 10.131 Å
α = 90.00°, β = 90.00°, γ = 90.00°
Element x y z (fractional)
Cu 0.936 0.602 0.750
Cu 0.436 0.898 0.250
Cu 0.564 0.102 0.750
Cu 0.064 0.398 0.250
Sm 0.641 0.523 0.250
Sm 0.859 0.023 0.250
Sm 0.141 0.977 0.750
Sm 0.359 0.477 0.750
Nd 0.325 0.193 0.441
Nd 0.675 0.807 0.559
Nd 0.175 0.693 0.059
Nd 0.825 0.307 0.941
Nd 0.325 0.193 0.059
Nd 0.825 0.307 0.559
Nd 0.175 0.693 0.441
Nd 0.675 0.807 0.941

Results
formation energy: -0.060 eV/atom
excess energy over the best structure of this formula in the dataset: 0 meV per atom
SG: No. 62